[1]
First-principles (PBE-GGA) data for a relaxed SrAg2I4 crystal, as listed in Alexandria via LeMat-Bulk.

Lattice parameters (Å, degrees): 15.354 4.860 8.047 90.00 102.48 90.00
Space group C2/m (No. 12)
Unique sites:
Sr  0.000  0.000  0.000 (multiplicity 2)
Ag  0.169  0.500  0.585 (multiplicity 4)
I  0.126  0.500  0.906 (multiplicity 4)
I  0.132  0.000  0.391 (multiplicity 4)

Values from the calculation:
As for the formation energy from raw total energies: -573 kJ/mol of formula units. The energy above the most stable polymorph in this dataset comes out at 0.00 kcal/mol of atoms.

[2]
First-principles (PBE-GGA) data for a relaxed Sr3Ag2I8 crystal, as listed in Alexandria via LeMat-Bulk.

Lattice parameters (Å, degrees): 16.499 9.481 8.247 90.00 109.92 90.00
Space group C2/m (No. 12)
Unique sites:
Sr  0.000  0.000  0.000 (multiplicity 2)
Sr  0.000  0.255  0.500 (multiplicity 4)
Ag  0.100  0.500  0.065 (multiplicity 4)
I  0.117  0.000  0.745 (multiplicity 4)
I  0.122  0.247  0.252 (multiplicity 8)
I  0.125  0.500  0.745 (multiplicity 4)

Values from the calculation:
As for the formation energy from raw total energies: -1556 kJ/mol of formula units.

[3]
First-principles (PBE-GGA) data for a relaxed Sr2AgI crystal, as listed in Alexandria via LeMat-Bulk.

Lattice parameters (Å, degrees): 8.273 8.273 8.273 90.00 90.00 90.00
Space group Fm-3m (No. 225)
Unique sites:
Sr  0.250  0.250  0.250 (multiplicity 8)
Ag  0.000  0.000  0.000 (multiplicity 4)
I  0.000  0.000  0.500 (multiplicity 4)

Values from the calculation:
As for the formation energy from raw total energies: -198 kJ/mol of formula units. The energy above the most stable polymorph in this dataset comes out at 5.31 kcal/mol of atoms.

[4]
First-principles (PBE-GGA) data for a relaxed Sr2AgI5 crystal, as listed in Alexandria via LeMat-Bulk.

Lattice parameters (Å, degrees): 13.350 13.645 9.755 90.00 90.00 90.00
Space group Pnnm (No. 58)
Unique sites:
Sr  0.000  0.000  0.249 (multiplicity 4)
Sr  0.137  0.371  0.500 (multiplicity 4)
Ag  0.245  0.259  0.000 (multiplicity 4)
I  0.061  0.154  0.000 (multiplicity 4)
I  0.098  0.133  0.500 (multiplicity 4)
I  0.105  0.608  0.500 (multiplicity 4)
I  0.218  0.880  0.264 (multiplicity 8)

Values from the calculation:
As for the formation energy from raw total energies: -991 kJ/mol of formula units.